No. 1
! GaGe2Os, optimized geometry, DFT PBE-GGA; values from VASP
! * space-group type: No. 166
! * E_form: 0.142 eV/atom
! * E: -5.731 eV per atom
! * total magnetization: 0.000 μB per atom
&SYSTEM
  ibrav = 0, nat = 4, ntyp = 3
/
ATOMIC_SPECIES
Ga 69.72 Ga.upf
Ge 72.64 Ge.upf
Os 190.23 Os.upf
ATOMIC_POSITIONS crystal
Ga 0.0000 0.0000 0.0000
Ge 0.0970 0.0970 0.0970
Ge 0.9030 0.9030 0.9030
Os 0.5000 0.5000 0.5000
CELL_PARAMETERS angstrom
1.5048 0.8688 9.0237
-1.5048 0.8688 9.0237
0.0000 -1.7376 9.0237

=====

No. 2
! Ca2SbRh, optimized geometry, DFT PBE-GGA; values from VASP
! * formation energy from raw total energies: -0.610 eV per atom
! * space-group type: No. 44
! * E: -4.479 eV per atom
! * total magnetization: 0.000 μB per atom
&SYSTEM
  ibrav = 0, nat = 4, ntyp = 3
/
ATOMIC_SPECIES
Ca 40.08 Ca.upf
Sb 121.76 Sb.upf
Rh 102.91 Rh.upf
ATOMIC_POSITIONS crystal
Ca 0.0000 0.0000 0.0000
Ca 0.7070 0.2070 0.5000
Sb 0.3913 0.3913 0.0000
Rh 0.2229 0.7229 0.5000
CELL_PARAMETERS angstrom
-1.7115 2.4476 6.1157
1.7115 -2.4476 6.1157
1.7115 2.4476 -6.1157

=====

No. 3
! SiTc2W, optimized geometry, DFT PBE-GGA; values from VASP
! * formation energy from raw total energies: -0.101 eV per atom
! * space-group type: No. 6
! * E: -9.878 eV per atom
! * total magnetization: 0.000 μB per atom
&SYSTEM
  ibrav = 0, nat = 4, ntyp = 3
/
ATOMIC_SPECIES
Si 28.09 Si.upf
Tc 98.00 Tc.upf
W 183.84 W.upf
ATOMIC_POSITIONS crystal
Si 0.0000 0.0000 0.0000
Tc 0.4990 0.5000 0.7827
Tc 0.9991 0.0000 0.5014
W 0.5013 0.5000 0.2610
CELL_PARAMETERS angstrom
2.8541 0.0000 0.0000
0.0000 4.0257 0.0000
-0.0108 0.0000 5.0765

=====

No. 4
! KCaSe, optimized geometry, DFT PBE-GGA; values from VASP
! * formation energy from raw total energies: -0.296 eV per atom
! * space-group type: No. 216
! * E: -2.490 eV per atom
! * total magnetization: 0.000 μB per atom
! * ΔE to the lowest computed polymorph: 830 meV/atom
&SYSTEM
  ibrav = 0, nat = 3, ntyp = 3
/
ATOMIC_SPECIES
K 39.10 K.upf
Ca 40.08 Ca.upf
Se 78.96 Se.upf
ATOMIC_POSITIONS crystal
K 0.0000 0.0000 0.0000
Ca 0.7500 0.7500 0.7500
Se 0.2500 0.2500 0.2500
CELL_PARAMETERS angstrom
0.0000 3.7894 3.7894
3.7894 0.0000 3.7894
3.7894 3.7894 0.0000

=====

No. 5
! Ba2CuSi, optimized geometry, DFT PBE-GGA; values from VASP
! * formation energy from raw total energies: 0.152 eV per atom
! * space-group type: No. 35
! * E: -3.190 eV per atom
! * total magnetization: 0.000 μB per atom
&SYSTEM
  ibrav = 0, nat = 4, ntyp = 3
/
ATOMIC_SPECIES
Ba 137.33 Ba.upf
Cu 63.55 Cu.upf
Si 28.09 Si.upf
ATOMIC_POSITIONS crystal
Ba 0.0000 0.0000 0.0000
Ba 0.5000 0.5000 0.4215
Cu 0.5000 0.5000 0.7467
Si 0.0000 0.0000 0.6665
CELL_PARAMETERS angstrom
2.2937 -3.2397 0.0000
2.2937 3.2397 0.0000
0.0000 0.0000 9.5503

=====

No. 6
! CePuSiHg, optimized geometry, DFT PBE-GGA; values from VASP
! * formation energy from raw total energies: -0.250 eV per atom
! * space-group type: No. 216
! * E: -6.748 eV per atom
! * total magnetization: 1.835 μB per atom
&SYSTEM
  ibrav = 0, nat = 4, ntyp = 4
/
ATOMIC_SPECIES
Ce 140.12 Ce.upf
Pu 244.00 Pu.upf
Si 28.09 Si.upf
Hg 200.59 Hg.upf
ATOMIC_POSITIONS crystal
Ce 0.0000 0.0000 0.0000
Pu 0.5000 0.5000 0.5000
Si 0.7500 0.7500 0.7500
Hg 0.2500 0.2500 0.2500
CELL_PARAMETERS angstrom
0.0000 3.6765 3.6765
3.6765 0.0000 3.6765
3.6765 3.6765 0.0000

=====

No. 7
! RbBeAgTe2, optimized geometry, DFT PBE-GGA; values from VASP
! * formation energy from raw total energies: -0.371 eV per atom
! * space-group type: No. 13
! * E: -3.137 eV per atom
! * total magnetization: 0.000 μB per atom
&SYSTEM
  ibrav = 0, nat = 10, ntyp = 4
/
ATOMIC_SPECIES
Rb 85.47 Rb.upf
Be 9.01 Be.upf
Ag 107.87 Ag.upf
Te 127.60 Te.upf
ATOMIC_POSITIONS crystal
Rb 0.0000 0.2431 0.2500
Rb 0.0000 0.7569 0.7500
Be 0.5000 0.5000 0.0000
Be 0.5000 0.5000 0.5000
Ag 0.5000 0.0128 0.2500
Ag 0.5000 0.9872 0.7500
Te 0.2777 0.2637 0.8862
Te 0.2777 0.7363 0.3862
Te 0.7223 0.2637 0.6138
Te 0.7223 0.7363 0.1138
CELL_PARAMETERS angstrom
8.2942 0.0000 0.0000
0.0000 6.2796 0.0000
-2.6196 0.0000 6.1912

=====

No. 8
! Ca2CdCl, optimized geometry, DFT PBE-GGA; values from VASP
! * formation energy from raw total energies: -0.769 eV per atom
! * space-group type: No. 99
! * E: -2.460 eV per atom
! * total magnetization: 0.000 μB per atom
! * ΔE to the lowest computed polymorph: 205 meV/atom
&SYSTEM
  ibrav = 0, nat = 4, ntyp = 3
/
ATOMIC_SPECIES
Ca 40.08 Ca.upf
Cd 112.41 Cd.upf
Cl 35.45 Cl.upf
ATOMIC_POSITIONS crystal
Ca 0.0000 0.0000 0.0000
Ca 0.5000 0.5000 0.3129
Cd 0.0000 0.0000 0.5182
Cl 0.5000 0.5000 0.8769
CELL_PARAMETERS angstrom
3.7275 0.0000 0.0000
0.0000 3.7275 0.0000
0.0000 0.0000 9.5005